DFT (GGA-PBE) results for a relaxed PmDy6Sc12 crystal.

Properties
Magnetization (μB/atom): 0.001
Fermi-level density of states (states/eV per cell): 29.125
Calculated volume (Å³/f.u.): 549.23
Energy (eV per atom): -5.204
Space group: No. 166

abc: 8.3434 8.3434 8.3434
angles: 100.23 100.23 100.23
Last column: nearest neighbours and their distance in Å.
Fractional coordinates of all 19 atoms:
Pm (0.0000, 0.0000, 0.0000)  6 Dy 3.66
Dy (0.2232, 0.2232, 0.7375)  4 Sc 2.79-3.03
Dy (0.2232, 0.7375, 0.2232)  4 Sc 2.79-3.03
Dy (0.2625, 0.7768, 0.7768)  4 Sc 2.79-3.03
Dy (0.7375, 0.2232, 0.2232)  4 Sc 2.79-3.03
Dy (0.7768, 0.2625, 0.7768)  4 Sc 2.79-3.03
Dy (0.7768, 0.7768, 0.2625)  4 Sc 2.79-3.03
Sc (0.1145, 0.5000, 0.8855)  4 Dy 2.79-3.03, 1 Sc 2.93
Sc (0.1145, 0.8855, 0.5000)  4 Dy 2.79-3.03, 1 Sc 2.93
Sc (0.1635, 0.4536, 0.4536)  3 Sc 3.15-3.45, 3 Dy 3.33
Sc (0.4536, 0.1635, 0.4536)  3 Sc 3.15-3.45, 3 Dy 3.33
Sc (0.4536, 0.4536, 0.1635)  3 Sc 3.15-3.45, 3 Dy 3.33
Sc (0.5000, 0.1145, 0.8855)  4 Dy 2.79-3.03, 1 Sc 2.93
Sc (0.5000, 0.8855, 0.1145)  4 Dy 2.79-3.03, 1 Sc 2.93
Sc (0.5464, 0.5464, 0.8365)  3 Sc 3.15-3.45, 3 Dy 3.33
Sc (0.5464, 0.8365, 0.5464)  3 Sc 3.15-3.45, 3 Dy 3.33
Sc (0.8365, 0.5464, 0.5464)  3 Sc 3.15-3.45, 3 Dy 3.33
Sc (0.8855, 0.1145, 0.5000)  4 Dy 2.79-3.03, 1 Sc 2.93
Sc (0.8855, 0.5000, 0.1145)  4 Dy 2.79-3.03, 1 Sc 2.93

DFT (GGA-PBE) results for a relaxed PmDySc2 crystal.

Properties
Magnetization (μB/atom): 0.000
Fermi-level density of states (states/eV per cell): 6.883
Calculated volume (Å³/f.u.): 113.66
Energy (eV per atom): -5.451
Space group: No. 123

abc: 4.9427 4.9427 4.6522
angles: 90.00 90.00 90.00
Last column: nearest neighbours and their distance in Å.
Fractional coordinates of all 4 atoms:
Pm (0.0000, 0.0000, 0.0000)  8 Sc 3.39, 4 Dy 3.50
Dy (0.5000, 0.5000, 0.0000)  8 Sc 3.39, 4 Pm 3.50
Sc (0.0000, 0.5000, 0.5000)  4 Dy 3.39, 4 Pm 3.39, 4 Sc 3.50
Sc (0.5000, 0.0000, 0.5000)  4 Dy 3.39, 4 Pm 3.39, 4 Sc 3.50

DFT (GGA-PBE) results for a relaxed Pm3Dy2Sc4 crystal.

Properties
Magnetization (μB/atom): 0.000
Fermi-level density of states (states/eV per cell): 29.911
Calculated volume (Å³/f.u.): 263.96
Energy (eV per atom): -5.367
Space group: No. 2

abc: 6.5975 8.3738 10.2804
angles: 78.64 75.13 76.43
Last column: nearest neighbours and their distance in Å.
Fractional coordinates of all 18 atoms:
Pm (0.1171, 0.1856, 0.0309)  1 Pm 3.39, 4 Dy 3.40-3.55, 6 Sc 3.43-3.59
Pm (0.1185, 0.1703, 0.7040)  3 Pm 3.39-3.66, 6 Sc 3.39-3.62, 3 Dy 3.47-3.77
Pm (0.2647, 0.5212, 0.4496)  6 Sc 3.26-3.48, 3 Pm 3.44-3.60, 1 Dy 3.62
Pm (0.7353, 0.4788, 0.5504)  6 Sc 3.26-3.48, 3 Pm 3.44-3.60, 1 Dy 3.62
Pm (0.8815, 0.8297, 0.2960)  3 Pm 3.39-3.66, 6 Sc 3.39-3.62, 3 Dy 3.47-3.77
Pm (0.8829, 0.8144, 0.9691)  1 Pm 3.39, 4 Dy 3.40-3.55, 6 Sc 3.43-3.59
Dy (0.1143, 0.1656, 0.3678)  6 Sc 3.36-3.69, 4 Pm 3.43-3.65, 1 Dy 3.47
Dy (0.4116, 0.8326, 0.8757)  6 Sc 3.16-3.44, 3 Pm 3.40-3.47, 1 Dy 3.47
Dy (0.5884, 0.1674, 0.1243)  6 Sc 3.16-3.44, 3 Pm 3.40-3.47, 1 Dy 3.47
Dy (0.8857, 0.8344, 0.6322)  6 Sc 3.36-3.69, 4 Pm 3.43-3.65, 1 Dy 3.47
Sc (0.2615, 0.5224, 0.7888)  5 Sc 3.24-3.45, 2 Dy 3.33-3.59, 5 Pm 3.43-3.62
Sc (0.2650, 0.5221, 0.1164)  2 Dy 3.23-3.35, 5 Sc 3.36-3.45, 4 Pm 3.42-3.59
Sc (0.4123, 0.8329, 0.2101)  3 Dy 3.16-3.44, 3 Sc 3.24-3.41, 4 Pm 3.35-3.43
Sc (0.4120, 0.8386, 0.5409)  3 Sc 3.07-3.43, 2 Pm 3.26-3.40, 2 Dy 3.36-3.43
Sc (0.5880, 0.1614, 0.4591)  3 Sc 3.07-3.43, 2 Pm 3.26-3.40, 2 Dy 3.36-3.43
Sc (0.5877, 0.1671, 0.7899)  3 Dy 3.16-3.44, 3 Sc 3.24-3.41, 4 Pm 3.35-3.43
Sc (0.7350, 0.4779, 0.8836)  2 Dy 3.23-3.35, 5 Sc 3.36-3.45, 4 Pm 3.42-3.59
Sc (0.7385, 0.4776, 0.2112)  5 Sc 3.24-3.45, 2 Dy 3.33-3.59, 5 Pm 3.43-3.62

DFT (GGA-PBE) results for a relaxed Pm2DySc crystal.

Properties
Magnetization (μB/atom): 0.000
Fermi-level density of states (states/eV per cell): 6.589
Calculated volume (Å³/f.u.): 124.44
Energy (eV per atom): -5.058
Space group: No. 8

abc: 3.5507 3.5507 11.5733
angles: 98.80 98.80 60.05
Last column: nearest neighbours and their distance in Å.
Fractional coordinates of all 4 atoms:
Pm (0.0000, 0.0000, 0.0000)  3 Sc 3.42, 6 Pm 3.55, 3 Dy 3.58
Pm (0.1611, 0.1611, 0.4799)  3 Sc 3.41, 6 Pm 3.55, 3 Dy 3.62-3.63
Dy (0.5822, 0.5822, 0.7423)  6 Dy 3.55, 6 Pm 3.58-3.63
Sc (0.4143, 0.4143, 0.2404)  6 Pm 3.41-3.42, 6 Sc 3.55

DFT (GGA-PBE) results for a relaxed PmDy2Sc8 crystal.

Properties
Magnetization (μB/atom): 0.000
Fermi-level density of states (states/eV per cell): 17.250
Calculated volume (Å³/f.u.): 302.90
Energy (eV per atom): -5.736
Space group: No. 12

abc: 9.2034 9.2034 5.4833
angles: 107.31 107.31 123.24
Last column: nearest neighbours and their distance in Å.
Fractional coordinates of all 11 atoms:
Pm (0.0000, 0.0000, 0.0000)  6 Sc 3.28-3.67
Dy (0.3098, 0.6902, 0.5000)  12 Sc 3.25-3.45
Dy (0.6902, 0.3098, 0.5000)  12 Sc 3.25-3.45
Sc (0.0975, 0.3580, 0.7274)  6 Sc 3.11-3.36, 3 Dy 3.30-3.45
Sc (0.2024, 0.7976, 0.0000)  4 Dy 3.25-3.42, 1 Pm 3.28, 6 Sc 3.29-3.36
Sc (0.3580, 0.0975, 0.7274)  6 Sc 3.11-3.36, 3 Dy 3.30-3.45
Sc (0.4990, 0.4990, 0.2554)  2 Sc 2.67-2.81
Sc (0.5010, 0.5010, 0.7446)  2 Sc 2.67-2.81
Sc (0.6420, 0.9025, 0.2726)  6 Sc 3.11-3.36, 3 Dy 3.30-3.45
Sc (0.7976, 0.2024, 0.0000)  4 Dy 3.25-3.42, 1 Pm 3.28, 6 Sc 3.29-3.36
Sc (0.9025, 0.6420, 0.2726)  6 Sc 3.11-3.36, 3 Dy 3.30-3.45

DFT (GGA-PBE) results for a relaxed PmDy5Sc3 crystal.

Properties
Magnetization (μB/atom): 0.000
Fermi-level density of states (states/eV per cell): 27.566
Calculated volume (Å³/f.u.): 307.99
Energy (eV per atom): -4.626
Space group: No. 12

abc: 8.6456 8.6456 10.3971
angles: 117.06 117.06 76.49
Last column: nearest neighbours and their distance in Å.
Fractional coordinates of all 18 atoms:
Pm (0.2353, 0.2353, 0.3301)  3 Sc 2.95-3.10
Pm (0.7647, 0.7647, 0.6699)  3 Sc 2.95-3.10
Dy (0.1532, 0.1532, 0.5926)  3 Sc 3.03-3.11, 1 Dy 3.38
Dy (0.1639, 0.6332, 0.2632)  2 Sc 3.08-3.22, 1 Dy 3.44
Dy (0.2793, 0.7207, 0.0000)  3 Sc 2.99-3.28
Dy (0.3008, 0.3008, 0.9887)  2 Sc 3.04-3.08, 1 Dy 3.38
Dy (0.3668, 0.8361, 0.7368)  2 Sc 3.08-3.22, 1 Dy 3.44
Dy (0.6332, 0.1639, 0.2632)  2 Sc 3.08-3.22, 1 Dy 3.44
Dy (0.6992, 0.6992, 0.0113)  2 Sc 3.04-3.08, 1 Dy 3.38
Dy (0.7207, 0.2793, 0.0000)  3 Sc 2.99-3.28
Dy (0.8361, 0.3668, 0.7368)  2 Sc 3.08-3.22, 1 Dy 3.44
Dy (0.8468, 0.8468, 0.4074)  3 Sc 3.03-3.11, 1 Dy 3.38
Sc (0.0000, 0.0000, 0.0000)  2 Sc 2.69, 2 Dy 2.99
Sc (0.0270, 0.0270, 0.7628)  1 Sc 2.69
Sc (0.4282, 0.4282, 0.7402)  4 Dy 3.08-3.28, 1 Sc 3.16
Sc (0.5000, 0.5000, 0.5000)  2 Pm 2.95, 2 Sc 3.16, 4 Dy 3.22
Sc (0.5718, 0.5718, 0.2598)  4 Dy 3.08-3.28, 1 Sc 3.16
Sc (0.9730, 0.9730, 0.2372)  1 Sc 2.69

> magnetization of number 2 (PmDySc2)?

0.000 μB/atom

> calculated volume of number 5 (PmDy2Sc8)?

302.90 Å³/f.u.

> Look up the Fermi-level density of states of the sixth one.

27.566 states/eV per cell